# 1
Compound: VSnRh2
Source: Alexandria
Functional: PBE
Structure: optimized geometry

Computed properties:
Formation energy (meV per atom): -290.6
Total moment (μB per atom): 0.07
Space group: P4/mmm (123)
Fermi-level density of states (states/eV/cell): 3.84
Electronic total energy (eV/atom): -7.247

a = 2.9178 Å, b = 2.9178 Å, c = 7.3147 Å
α = 90.00°, β = 90.00°, γ = 90.00°
Fractional coordinates of all 4 atoms:
V1 0.0000 0.0000 0.0000
Sn1 0.0000 0.0000 0.5000
Rh1 0.5000 0.5000 0.2281
Rh2 0.5000 0.5000 0.7719

---

# 2
Compound: B5C7
Source: Alexandria
Functional: PBE
Structure: optimized geometry

Computed properties:
Formation energy (meV per atom): 385.3
Total moment (μB per atom): 0.00
Space group: Cm (8)
Polymorph energy (0 for the lowest one) (meV/atom): 127.4
Fermi-level density of states (states/eV/cell): 1.31
Electronic total energy (eV/atom): -7.778

a = 6.1955 Å, b = 6.1955 Å, c = 5.1374 Å
α = 104.08°, β = 104.08°, γ = 24.45°
Fractional coordinates of all 12 atoms:
B1 0.0000 0.0000 0.0000
B2 0.0166 0.0166 0.4152
B3 0.5778 0.5778 0.9419
B4 0.6747 0.6747 0.3194
B5 0.8995 0.8995 0.6907
C1 0.2501 0.2501 0.8354
C2 0.2529 0.2529 0.3322
C3 0.3261 0.3261 0.6241
C4 0.3286 0.3286 0.1304
C5 0.5883 0.5883 0.5068
C6 0.6746 0.6746 0.7913
C7 0.9033 0.9033 0.1750

---

# 3
Compound: Li3Ag3PdF8
Source: Alexandria
Functional: PBE
Structure: optimized geometry

Computed properties:
Total moment (μB per atom): 0.00
Space group: C2/m (12)
Electronic total energy (eV/atom): -4.043
Energy relative to the elements, uncorrected (eV/atom): -1.75

a = 6.3592 Å, b = 6.3592 Å, c = 6.6329 Å
α = 114.25°, β = 114.25°, γ = 56.19°
Fractional coordinates of all 15 atoms:
Li1 0.0000 0.0000 0.0000
Li2 0.0000 0.5000 0.0000
Li3 0.5000 0.0000 0.0000
Ag1 0.0000 0.5000 0.5000
Ag2 0.5000 0.0000 0.5000
Ag3 0.5000 0.5000 0.5000
Pd1 0.5000 0.5000 0.0000
F1 0.2180 0.2180 0.1760
F2 0.2241 0.7029 0.1753
F3 0.2245 0.2245 0.7493
F4 0.2971 0.7759 0.8247
F5 0.7029 0.2241 0.1753
F6 0.7755 0.7755 0.2507
F7 0.7759 0.2971 0.8247
F8 0.7820 0.7820 0.8240

---

# 4
Compound: LiAc2Se
Source: Alexandria
Functional: PBE
Structure: optimized geometry

Computed properties:
Total moment (μB per atom): 0.00
Space group: R-3m (166)
Polymorph energy (0 for the lowest one) (meV/atom): 130.0
Fermi-level density of states (states/eV/cell): 3.75
Electronic total energy (eV/atom): -3.946
Energy relative to the elements, uncorrected (eV/atom): -0.54

a = 11.4345 Å, b = 11.4345 Å, c = 11.4345 Å
α = 20.75°, β = 20.75°, γ = 20.75°
Fractional coordinates of all 4 atoms:
Li1 0.0000 0.0000 0.0000
Ac1 0.1079 0.1079 0.1079
Ac2 0.8921 0.8921 0.8921
Se1 0.5000 0.5000 0.5000

---

What did the first record say?
Compound: VSnRh2
Source: Alexandria
Functional: PBE
Structure: optimized geometry

Computed properties:
Formation energy (meV per atom): -290.6
Total moment (μB per atom): 0.07
Space group: P4/mmm (123)
Fermi-level density of states (states/eV/cell): 3.84
Electronic total energy (eV/atom): -7.247

a = 2.9178 Å, b = 2.9178 Å, c = 7.3147 Å
α = 90.00°, β = 90.00°, γ = 90.00°
Fractional coordinates of all 4 atoms:
V1 0.0000 0.0000 0.0000
Sn1 0.0000 0.0000 0.5000
Rh1 0.5000 0.5000 0.2281
Rh2 0.5000 0.5000 0.7719

---

Repeat the third record exactly.
Compound: Li3Ag3PdF8
Source: Alexandria
Functional: PBE
Structure: optimized geometry

Computed properties:
Total moment (μB per atom): 0.00
Space group: C2/m (12)
Electronic total energy (eV/atom): -4.043
Energy relative to the elements, uncorrected (eV/atom): -1.75

a = 6.3592 Å, b = 6.3592 Å, c = 6.6329 Å
α = 114.25°, β = 114.25°, γ = 56.19°
Fractional coordinates of all 15 atoms:
Li1 0.0000 0.0000 0.0000
Li2 0.0000 0.5000 0.0000
Li3 0.5000 0.0000 0.0000
Ag1 0.0000 0.5000 0.5000
Ag2 0.5000 0.0000 0.5000
Ag3 0.5000 0.5000 0.5000
Pd1 0.5000 0.5000 0.0000
F1 0.2180 0.2180 0.1760
F2 0.2241 0.7029 0.1753
F3 0.2245 0.2245 0.7493
F4 0.2971 0.7759 0.8247
F5 0.7029 0.2241 0.1753
F6 0.7755 0.7755 0.2507
F7 0.7759 0.2971 0.8247
F8 0.7820 0.7820 0.8240

---

Which value of total moment does entry 1 give?
0.07 μB per atom

---

The highest total moment belongs to which entry?
VSnRh2